A plane-wave DFT calculation with SCAN was carried out for a PBEsol-optimized structure of CaMn2Be.

Lattice parameters (Å, degrees): 6.2268 6.2268 6.2268 90.00 90.00 90.00
Space group F-43m (No. 216)
Inequivalent atoms, fractional coordinates:
Ca  0.0000  0.0000  0.0000 [4 per cell]
Mn  0.0000  0.0000  0.5000 [4 per cell]
Mn  0.2500  0.2500  0.7500 [4 per cell]
Be  0.2500  0.2500  0.2500 [4 per cell]

## Properties
Crystal system ... cubic
Energy of formation from the pure elements ... 0.25 eV per atom



A plane-wave DFT calculation with SCAN was carried out for a PBEsol-optimized structure of Nb3SBr7.

Lattice parameters (Å, degrees): 7.0730 7.0730 6.4015 90.00 90.00 120.00
Space group P3m1 (No. 156)
Inequivalent atoms, fractional coordinates:
Nb  0.1975  0.3951  0.0000 [3 per cell]
S  0.3333  0.6667  0.2696 [1 per cell]
Br  0.0000  0.0000  0.7842 [1 per cell]
Br  0.3380  0.1690  0.2232 [3 per cell]
Br  0.5023  0.0046  0.7353 [3 per cell]

## Properties
Crystal system ... trigonal
E_form (uncorrected) ... -1115 meV/atom



A plane-wave DFT calculation with SCAN was carried out for a PBEsol-optimized structure of IrRh2SN.

Lattice parameters (Å, degrees): 4.8274 4.8274 3.5789 90.00 90.00 90.00
Space group P4/mmm (No. 123)
Inequivalent atoms, fractional coordinates:
Ir  0.0000  0.0000  0.0000 [1 per cell]
Rh  0.0000  0.5000  0.0000 [2 per cell]
S  0.5000  0.5000  0.5000 [1 per cell]
N  0.0000  0.0000  0.5000 [1 per cell]

## Properties
Crystal system ... tetragonal
E_form (uncorrected) ... 1121 meV/atom



A plane-wave DFT calculation with SCAN was carried out for a PBEsol-optimized structure of LaNdCuO4.

Lattice parameters (Å, degrees): 12.8231 5.2220 5.4592 90.00 90.28 90.00
Space group C2/m (No. 12)
Inequivalent atoms, fractional coordinates:
La  0.1393  0.0000  0.4864 [4 per cell]
Nd  0.1373  0.5000  0.0165 [4 per cell]
Cu  0.0000  0.0000  0.0000 [2 per cell]
Cu  0.0000  0.5000  0.5000 [2 per cell]
O  0.0120  0.2529  0.7543 [8 per cell]
O  0.1842  0.5000  0.4376 [4 per cell]
O  0.1867  0.0000  0.0596 [4 per cell]

## Properties
Crystal system ... monoclinic
E_form (uncorrected) ... -2870 meV/atom



A plane-wave DFT calculation with SCAN was carried out for a PBEsol-optimized structure of Te3SeO8.

Lattice parameters (Å, degrees): 4.9278 6.7851 11.5461 77.37 78.00 69.43
Space group P-1 (No. 2)
Inequivalent atoms, fractional coordinates:
Te  0.0066  0.2385  0.0706 [2 per cell]
Te  0.3537  0.6291  0.1970 [2 per cell]
Te  0.4020  0.0385  0.6912 [2 per cell]
Se  0.1528  0.6706  0.5902 [2 per cell]
O  0.0035  0.7900  0.3073 [2 per cell]
O  0.0917  0.2797  0.2813 [2 per cell]
O  0.1388  0.8143  0.0588 [2 per cell]
O  0.2428  0.4664  0.9371 [2 per cell]
O  0.3200  0.8639  0.5653 [2 per cell]
O  0.3379  0.8135  0.8185 [2 per cell]
O  0.4331  0.4423  0.6408 [2 per cell]
O  0.4974  0.1343  0.8296 [2 per cell]

## Properties
Crystal system ... triclinic
E_form (uncorrected) ... -1027 meV/atom



A plane-wave DFT calculation with SCAN was carried out for a PBEsol-optimized structure of Rb3BeTl.

Lattice parameters (Å, degrees): 6.8732 6.8732 6.8732 90.00 90.00 90.00
Space group Pm-3m (No. 221)
Inequivalent atoms, fractional coordinates:
Rb  0.0000  0.0000  0.5000 [3 per cell]
Be  0.5000  0.5000  0.5000 [1 per cell]
Tl  0.0000  0.0000  0.0000 [1 per cell]

## Properties
Crystal system ... cubic
Energy of formation from the pure elements ... 0.69 eV per atom



A plane-wave DFT calculation with SCAN was carried out for a PBEsol-optimized structure of Y2CoNi.

Lattice parameters (Å, degrees): 3.8429 3.8429 20.2061 90.00 90.00 120.00
Space group R3m (No. 160, hexagonal axes)
Inequivalent atoms, fractional coordinates:
Y  0.0000  0.0000  0.0000 [3 per cell]
Y  0.0000  0.0000  0.1783 [3 per cell]
Co  0.0000  0.0000  0.7563 [3 per cell]
Ni  0.0000  0.0000  0.4222 [3 per cell]

## Properties
Crystal system ... trigonal
Energy of formation from the pure elements ... -0.22 eV per atom



A plane-wave DFT calculation with SCAN was carried out for a PBEsol-optimized structure of LiInHg2.

Lattice parameters (Å, degrees): 3.2529 3.2529 28.2817 90.00 90.00 120.00
Space group R-3m (No. 166, hexagonal axes)
Inequivalent atoms, fractional coordinates:
Li  0.0000  0.0000  0.0000 [3 per cell]
In  0.0000  0.0000  0.5000 [3 per cell]
Hg  0.0000  0.0000  0.2588 [6 per cell]

## Properties
Crystal system ... trigonal
Energy of formation from the pure elements ... -0.20 eV per atom



A plane-wave DFT calculation with SCAN was carried out for a PBEsol-optimized structure of Sc2BeNi.

Lattice parameters (Å, degrees): 3.7904 3.7904 16.6453 90.00 90.00 120.00
Space group R3m (No. 160, hexagonal axes)
Inequivalent atoms, fractional coordinates:
Sc  0.0000  0.0000  0.0000 [3 per cell]
Sc  0.0000  0.0000  0.1821 [3 per cell]
Be  0.0000  0.0000  0.7594 [3 per cell]
Ni  0.0000  0.0000  0.4223 [3 per cell]

## Properties
Crystal system ... trigonal
Energy of formation from the pure elements ... -0.23 eV per atom



A plane-wave DFT calculation with SCAN was carried out for a PBEsol-optimized structure of Li2CdSi.

Lattice parameters (Å, degrees): 2.7665 3.9931 5.7014 90.00 90.00 90.00
Space group Pmmm (No. 47)
Inequivalent atoms, fractional coordinates:
Li  0.0000  0.0000  0.2235 [2 per cell]
Cd  0.5000  0.5000  0.5000 [1 per cell]
Si  0.5000  0.5000  0.0000 [1 per cell]

## Properties
Crystal system ... orthorhombic
E_form (uncorrected) ... -136 meV/atom



A plane-wave DFT calculation with SCAN was carried out for a PBEsol-optimized structure of WCl.

Lattice parameters (Å, degrees): 2.9715 4.3119 4.7249 90.00 90.00 90.00
Space group Pmmn (No. 59, origin choice 2)
Inequivalent atoms, fractional coordinates:
W  0.2500  0.2500  0.1247 [2 per cell]
Cl  0.2500  0.7500  0.4066 [2 per cell]

## Properties
Crystal system ... orthorhombic
E_form (uncorrected) ... 801 meV/atom



A plane-wave DFT calculation with SCAN was carried out for a PBEsol-optimized structure of Li2BeAl.

Lattice parameters (Å, degrees): 8.9655 2.8180 4.5235 90.00 111.07 90.00
Space group Cm (No. 8)
Inequivalent atoms, fractional coordinates:
Li  0.0000  0.0000  0.0000 [2 per cell]
Li  0.2360  0.0000  0.8107 [2 per cell]
Be  0.2314  0.5000  0.3230 [2 per cell]
Al  0.4687  0.0000  0.4687 [2 per cell]

## Properties
Crystal system ... monoclinic
Energy of formation from the pure elements ... 0.06 eV per atom